This record from the Alexandria database describes an optimized crystal structure of NaCo3C. The functional is PBE.

Cell lengths 4.328, 4.328, 4.328 Å; angles 90.00, 90.00, 90.00 degrees
Space group Pm-3m (No. 221)
Inequivalent atoms, fractional coordinates:
1 Na 0.000 0.000 0.000 x1
2 Co 0.000 0.000 0.500 x3
3 C 0.500 0.500 0.500 x1

Results
Polymorph energy (0 for the lowest one) ... 13.88 eV per formula unit
Energy of formation ... 3138 meV/atom

This record from the Alexandria database describes an optimized crystal structure of Sc2BeAuC. The functional is PBE.

Cell lengths 6.814, 3.346, 7.321 Å; angles 90.00, 113.30, 90.00 degrees
Space group P2_1/m (No. 11)
Inequivalent atoms, fractional coordinates:
1 Sc 0.020 0.250 0.325 x2
2 Sc 0.429 0.750 0.669 x2
3 Be 0.338 0.250 0.914 x2
4 Au 0.226 0.750 0.112 x2
5 C 0.203 0.250 0.656 x2

Results
Energy of formation ... -534 meV/atom

This record from the Alexandria database describes an optimized crystal structure of CeTe2Br2. The functional is PBE.

Cell lengths 7.498, 14.512, 7.846 Å; angles 90.00, 99.01, 90.00 degrees
Space group C2/m (No. 12)
Inequivalent atoms, fractional coordinates:
1 Ce 0.000 0.162 0.000 x4
2 Te 0.050 0.000 0.295 x4
3 Te 0.198 0.500 0.921 x4
4 Br 0.247 0.277 0.231 x8

Results
Uncorrected energy ... -4.299 eV/atom

This record from the Alexandria database describes an optimized crystal structure of YBeCuHg2. The functional is PBE.

Cell lengths 4.713, 4.713, 4.401 Å; angles 90.00, 90.00, 90.00 degrees
Space group P4/mmm (No. 123)
Inequivalent atoms, fractional coordinates:
1 Y 0.000 0.000 0.000 x1
2 Be 0.500 0.500 0.500 x1
3 Cu 0.500 0.500 0.000 x1
4 Hg 0.000 0.500 0.500 x2

Results
Energy of formation ... -3 meV/atom

This record from the Alexandria database describes an optimized crystal structure of Sm2GdBe. The functional is PBE.

Cell lengths 3.542, 3.542, 8.671 Å; angles 90.00, 90.00, 90.00 degrees
Space group P4/mmm (No. 123)
Inequivalent atoms, fractional coordinates:
1 Sm 0.000 0.000 0.194 x2
2 Gd 0.500 0.500 0.500 x1
3 Be 0.500 0.500 0.000 x1

Results
Polymorph energy (0 for the lowest one) ... 0.00 eV per formula unit
Energy of formation ... 105 meV/atom

This record from the Alexandria database describes an optimized crystal structure of Tm2Ga3Ni5. The functional is PBE.

Cell lengths 4.158, 20.958, 7.024 Å; angles 90.00, 90.00, 90.00 degrees
Space group Cmc2_1 (No. 36)
Inequivalent atoms, fractional coordinates:
1 Tm 0.000 0.016 0.000 x4
2 Tm 0.000 0.347 0.490 x4
3 Ga 0.000 0.119 0.673 x4
4 Ga 0.000 0.242 0.163 x4
5 Ga 0.000 0.443 0.798 x4
6 Ni 0.000 0.118 0.284 x4
7 Ni 0.000 0.218 0.490 x4
8 Ni 0.000 0.235 0.831 x4
9 Ni 0.000 0.348 0.986 x4
10 Ni 0.000 0.446 0.198 x4

Results
Polymorph energy (0 for the lowest one) ... 0.00 eV per formula unit
Energy of formation ... -512 meV/atom

This record from the Alexandria database describes an optimized crystal structure of PmTeS4. The functional is PBE.

Cell lengths 6.222, 6.909, 7.009 Å; angles 90.00, 97.31, 90.00 degrees
Space group P2_1/c (No. 14)
Inequivalent atoms, fractional coordinates:
1 Pm 0.000 0.000 0.000 x2
2 Te 0.500 0.000 0.500 x2
3 S 0.140 0.154 0.366 x4
4 S 0.297 0.721 0.255 x4

Results
Uncorrected energy ... -4.669 eV/atom

This record from the Alexandria database describes an optimized crystal structure of TcRu. The functional is PBE.

Cell lengths 5.517, 5.517, 5.517 Å; angles 90.00, 90.00, 90.00 degrees
Space group F-43m (No. 216)
Inequivalent atoms, fractional coordinates:
1 Tc 0.000 0.000 0.000 x4
2 Ru 0.250 0.250 0.250 x4

Results
Polymorph energy (0 for the lowest one) ... 2.68 eV per formula unit
Energy of formation ... 1273 meV/atom

This record from the Alexandria database describes an optimized crystal structure of CsBaIn2Pt. The functional is PBE.

Cell lengths 5.409, 5.409, 6.113 Å; angles 90.00, 90.00, 90.00 degrees
Space group P4/mmm (No. 123)
Inequivalent atoms, fractional coordinates:
1 Cs 0.000 0.000 0.000 x1
2 Ba 0.500 0.500 0.000 x1
3 In 0.000 0.500 0.500 x2
4 Pt 0.500 0.500 0.500 x1

Results
Energy of formation ... -278 meV/atom

This record from the Alexandria database describes an optimized crystal structure of KSe5. The functional is PBE.

Cell lengths 4.128, 13.183, 7.099 Å; angles 90.00, 97.68, 90.00 degrees
Space group P2_1/m (No. 11)
Inequivalent atoms, fractional coordinates:
1 K 0.225 0.250 0.455 x2
2 Se 0.210 0.600 0.056 x4
3 Se 0.244 0.550 0.381 x4
4 Se 0.454 0.250 0.959 x2

Results
Polymorph energy (0 for the lowest one) ... 0.00 eV per formula unit

This record from the Alexandria database describes an optimized crystal structure of ReNiPb2. The functional is PBE.

Cell lengths 3.0990, 3.0990, 32.2243 Å; angles 90.00, 90.00, 120.00 degrees
Space group R3m (No. 160, hexagonal axes)
Inequivalent atoms, fractional coordinates:
1 Re 0.0000 0.0000 0.0000 x3
2 Ni 0.0000 0.0000 0.2792 x3
3 Pb 0.0000 0.0000 0.5399 x3
4 Pb 0.0000 0.0000 0.7439 x3

Results
Polymorph energy (0 for the lowest one) ... 0.70 eV per formula unit
Energy of formation ... 620 meV/atom

This record from the Alexandria database describes an optimized crystal structure of OsRh2Cl. The functional is PBE.

Cell lengths 2.828, 2.828, 7.522 Å; angles 90.00, 90.00, 90.00 degrees
Space group P4mm (No. 99)
Inequivalent atoms, fractional coordinates:
1 Os 0.000 0.000 0.000 x1
2 Rh 0.000 0.000 0.479 x1
3 Rh 0.500 0.500 0.227 x1
4 Cl 0.500 0.500 0.752 x1

Results
Polymorph energy (0 for the lowest one) ... 1.32 eV per formula unit